Record 1
A relaxed structure of TaRh, computed with PBE.

POSCAR file:
```
TaRh
1.0
-2.635 -0.177 1.076
0.824 -2.709 0.333
2.899 1.790 7.397
Rh Ta
2 2
Cartesian
0.774 0.761 7.380
0.314 -1.857 1.425
1.817 -0.929 5.257
-0.728 -0.167 3.548
```

uncorrected energy = -9.794 eV per atom
ΔH_f (0 K) = -0.19 eV per atom


Record 2
A relaxed structure of TaRh2, computed with PBE.

POSCAR file:
```
TaRh2
1.0
-2.663 2.365 -1.723
-2.106 0.069 3.349
1.758 2.744 1.049
Rh Ta
2 1
Cartesian
-0.174 1.407 2.199
-0.452 2.555 -0.337
0.000 0.000 0.000
```

uncorrected energy = -8.865 eV per atom
ΔH_f (0 K) = -0.01 eV per atom


Record 3
A relaxed structure of Ta4Rh5, computed with PBE.

POSCAR file:
```
Ta4Rh5
1.0
-5.069 -3.295 -5.938
-2.500 -5.984 5.454
-5.264 -3.464 0.369
Rh Ta
5 4
Cartesian
-2.529 -3.100 -0.162
0.000 0.000 0.000
-4.211 -4.193 -2.132
-3.358 -5.086 1.648
-5.040 -6.179 -0.322
-1.715 -4.105 3.742
-3.477 -2.260 -4.073
-0.785 -1.879 1.713
-1.592 -1.035 -1.865
```

uncorrected energy = -9.854 eV per atom
ΔH_f (0 K) = -0.50 eV per atom


Record 4
A relaxed structure of TaRh, computed with PBE.

POSCAR file:
```
TaRh
1.0
-6.483 5.812 -1.436
-7.466 3.525 -3.114
-8.059 3.591 -0.172
Ta Rh
2 2
Cartesian
-2.676 1.572 -0.574
-19.331 11.356 -4.148
-8.337 4.898 -1.789
-13.670 8.030 -2.933
```

uncorrected energy = -9.758 eV per atom
ΔH_f (0 K) = -0.16 eV per atom


Record 5
A relaxed structure of TaRh4, computed with PBE.

POSCAR file:
```
TaRh4
1.0
-0.921 -2.403 -3.157
4.173 2.106 -2.820
2.430 -4.616 5.433
Rh Ta
8 2
Cartesian
3.181 -2.012 -2.023
3.822 -4.480 -0.331
1.626 -0.149 -2.988
2.502 -2.901 1.479
-0.460 -1.202 -1.578
4.543 -1.871 0.099
1.139 -3.043 -0.643
1.860 -0.433 -0.213
1.692 -5.481 1.052
3.991 0.568 -1.596
```

uncorrected energy = -8.613 eV per atom
ΔH_f (0 K) = -0.36 eV per atom


Record 6
A relaxed structure of TaRh2, computed with PBE.

POSCAR file:
```
TaRh2
1.0
6.057 0.000 0.000
0.000 6.057 0.000
0.000 0.000 6.057
Ta Rh
4 8
Cartesian
3.029 3.029 0.000
3.029 0.000 3.029
0.000 0.000 0.000
0.000 3.029 3.029
2.270 0.758 5.299
3.787 5.299 0.758
0.758 5.299 2.270
2.270 2.270 2.270
0.758 3.787 5.299
5.299 0.758 3.787
5.299 2.270 0.758
3.787 3.787 3.787
```

uncorrected energy = -8.559 eV per atom
ΔH_f (0 K) = 0.29 eV per atom


Record 7
A relaxed structure of TaRh, computed with PBE.

POSCAR file:
```
TaRh
1.0
1.059 -3.635 3.818
2.812 -4.320 1.529
5.322 2.184 3.421
Rh Ta
3 3
Cartesian
3.044 -1.898 2.899
3.849 -4.315 4.239
6.150 -3.646 5.801
6.121 -0.272 4.769
0.158 -0.021 0.128
6.725 -6.202 7.007
```

uncorrected energy = -9.937 eV per atom
ΔH_f (0 K) = -0.33 eV per atom


Record 8
A relaxed structure of Ta5Rh3, computed with PBE.

POSCAR file:
```
Ta5Rh3
1.0
7.860 0.000 0.000
-3.930 6.807 0.000
0.000 0.000 5.130
Ta Rh
10 6
Cartesian
3.930 2.269 5.130
-2.032 6.807 3.847
-2.981 5.163 1.282
-0.949 1.644 3.847
0.000 4.538 0.000
2.981 5.163 3.847
0.000 4.538 2.565
2.031 6.807 1.282
3.930 2.269 2.565
0.949 1.644 1.282
4.713 0.000 3.847
-2.356 4.081 3.847
-0.783 6.807 1.282
2.356 4.081 1.282
6.286 2.725 1.282
1.574 2.725 3.847
```

uncorrected energy = -10.395 eV per atom
ΔH_f (0 K) = -0.23 eV per atom


Record 9
A relaxed structure of TaRh, computed with PBE.

POSCAR file:
```
TaRh
1.0
-2.986 -5.172 5.224
7.348 -2.253 1.970
0.199 5.580 5.637
Ta Rh
8 8
Cartesian
0.906 -0.561 7.622
1.662 -0.672 4.675
2.846 -2.687 6.627
0.764 3.815 5.849
5.973 -1.892 3.176
3.710 0.231 6.739
-1.557 -4.019 5.547
3.943 -1.594 11.091
0.441 -2.407 5.999
3.635 -5.153 6.922
1.553 1.349 6.144
5.707 1.842 7.191
0.797 -0.322 2.242
3.078 -1.245 8.657
-1.016 -0.057 9.308
4.051 -1.387 4.862
```

uncorrected energy = -8.641 eV per atom
ΔH_f (0 K) = 0.96 eV per atom


Record 10
A relaxed structure of Ta5Rh4, computed with PBE.

POSCAR file:
```
Ta5Rh4
1.0
6.451 2.151 0.272
-6.530 0.557 1.835
1.145 -5.321 4.086
Ta Rh
5 4
Cartesian
-2.224 1.086 1.316
2.145 1.622 0.791
0.734 -2.632 3.410
0.333 0.019 2.783
0.000 0.000 0.000
-3.638 -3.218 4.000
-1.747 -1.546 1.921
5.132 -2.141 2.944
2.465 -1.028 1.414
```

uncorrected energy = -10.098 eV per atom
ΔH_f (0 K) = -0.25 eV per atom


Record 11
A relaxed structure of TaRh, computed with PBE.

POSCAR file:
```
TaRh
1.0
-4.767 0.745 -2.549
-4.428 -2.219 -2.290
-4.561 -0.117 4.616
Rh Ta
3 3
Cartesian
-9.085 -1.447 -4.677
-9.215 -1.069 -0.185
-6.876 -0.939 -1.760
-6.658 -0.497 3.010
-4.620 -0.528 -0.005
-11.717 -1.501 -1.854
```

uncorrected energy = -9.978 eV per atom
ΔH_f (0 K) = -0.38 eV per atom


Record 12
A relaxed structure of Ta4Rh3, computed with PBE.

POSCAR file:
```
Ta4Rh3
1.0
-4.248 0.164 -2.940
0.389 -0.476 -5.132
-0.484 -4.957 0.423
Ta Rh
4 3
Cartesian
-1.529 -2.582 -2.479
-2.815 -2.686 -5.170
-0.122 -1.249 0.107
-0.362 -3.708 0.316
-2.124 0.082 -1.470
-1.930 -0.156 -4.036
0.194 -0.238 -2.566
```

uncorrected energy = -10.288 eV per atom
ΔH_f (0 K) = -0.36 eV per atom


Look up the uncorrected energy of the eighth one. -10.395 eV per atom


Number 4 is which compound? TaRh


Look up the uncorrected energy of the first one. -9.794 eV per atom


Which formula does entry 4 have? TaRh